Entry 1:
ZrScIr: relaxed, PBE.

Calculated values
SG: F-43m (216)
Calculated total energy (eV/atom): -8.531
Energy above the most stable polymorph in this dataset (meV per atom): 35

Cell lengths 4.5396, 4.5396, 4.5396 Å; angles 60.00, 60.00, 60.00 degrees
Last column: nearest neighbours and their distance in Å.
Sites, in units of the cell vectors:
Ir (0.7500, 0.7500, 0.7500)  4 Sc 2.78, 4 Zr 2.78
Sc (0.0000, 0.0000, 0.0000)  4 Ir 2.78
Zr (0.5000, 0.5000, 0.5000)  4 Ir 2.78

---

Entry 2:
ThHgCl: relaxed, PBE.

Calculated values
Formation energy (no corrections) (kJ/mol of atoms): -74
SG: P-1 (2)
Calculated total energy (eV/atom): -3.957

Cell lengths 3.5984, 6.7876, 10.0939 Å; angles 47.69, 90.45, 105.76 degrees
Last column: nearest neighbours and their distance in Å.
Sites, in units of the cell vectors:
Th (0.6399, 0.2874, 0.4812)  3 Cl 2.87-2.88
Th (0.3601, 0.7126, 0.5188)  3 Cl 2.87-2.88
Hg (0.1474, 0.2952, 0.1741)  2 Hg 3.10-3.11, 1 Cl 3.31, 2 Th 3.36-3.38
Hg (0.8526, 0.7048, 0.8259)  2 Hg 3.10-3.11, 1 Cl 3.31, 2 Th 3.36-3.38
Cl (0.3720, 0.7532, 0.2170)  3 Th 2.87-2.88, 1 Cl 3.14
Cl (0.6280, 0.2468, 0.7830)  3 Th 2.87-2.88, 1 Cl 3.14

---

The highest calculated total energy belongs to which entry? ThHgCl